Entry 1:
AcNd8Ho3 | PBE | optimized geometry

Properties
DFT formation energy, eV per atom: 0.121
Calculated volume, Å³/atom: 35.14
D(E_F), states/eV/atom: 1.43

CIF file:
```
data_AcNd8Ho3
_cell_length_a 15.611
_cell_length_b 9.032
_cell_length_c 6.544
_cell_angle_alpha 90.00
_cell_angle_beta 113.94
_cell_angle_gamma 90.00
_space_group_name_H-M_alt 'C 1 2 1'
_space_group_IT_number 5
loop_
_space_group_symop_operation_xyz
'x,y,z'
'-x,y,-z'
'x+1/2,y+1/2,z'
'-x+1/2,y+1/2,-z'
loop_
_atom_site_label
_atom_site_fract_x
_atom_site_fract_y
_atom_site_fract_z
_atom_site_occupancy
Ac1 0.000 0.000 0.000 1
Nd1 0.068 0.665 0.312 1
Nd2 0.132 0.032 0.636 1
Nd3 0.175 0.676 0.907 1
Nd4 0.245 0.403 0.653 1
Ho1 0.000 0.352 0.500 1
Ho2 0.125 0.337 0.089 1
```

Entry 2:
Ac8NdHo2 | PBE | optimized geometry

Properties
DFT formation energy, eV per atom: 0.359
Calculated volume, Å³/atom: 45.57
D(E_F), states/eV/atom: 1.50

CIF file:
```
data_Ac8NdHo2
_cell_length_a 13.452
_cell_length_b 12.286
_cell_length_c 6.223
_cell_angle_alpha 90.00
_cell_angle_beta 102.92
_cell_angle_gamma 90.00
_space_group_name_H-M_alt 'C 1 2/m 1'
_space_group_IT_number 12
loop_
_space_group_symop_operation_xyz
'x,y,z'
'-x,-y,-z'
'-x,y,-z'
'x,-y,z'
'x+1/2,y+1/2,z'
'-x+1/2,-y+1/2,-z'
'-x+1/2,y+1/2,-z'
'x+1/2,-y+1/2,z'
loop_
_atom_site_label
_atom_site_fract_x
_atom_site_fract_y
_atom_site_fract_z
_atom_site_occupancy
Ac1 0.080 0.000 0.293 1
Ac2 0.111 0.246 0.810 1
Ac3 0.143 0.500 0.506 1
Nd1 0.000 0.500 0.000 1
Ho1 0.238 0.000 0.920 1
```

Entry 3:
AcNd7Ho2 | PBE | optimized geometry

Properties
DFT formation energy, eV per atom: 0.210
Calculated volume, Å³/atom: 36.72
Energy relative to the lowest polymorph listed for this composition, meV per atom: 0
D(E_F), states/eV/atom: 1.60

CIF file:
```
data_AcNd7Ho2
_cell_length_a 5.749
_cell_length_b 8.688
_cell_length_c 8.842
_cell_angle_alpha 114.87
_cell_angle_beta 103.68
_cell_angle_gamma 101.17
_space_group_name_H-M_alt 'P -1'
_space_group_IT_number 2
loop_
_space_group_symop_operation_xyz
'x,y,z'
'-x,-y,-z'
loop_
_atom_site_label
_atom_site_fract_x
_atom_site_fract_y
_atom_site_fract_z
_atom_site_occupancy
Ac1 0.000 0.000 0.000 1
Nd1 0.000 0.500 0.500 1
Nd2 0.342 0.970 0.707 1
Nd3 0.374 0.268 0.528 1
Nd4 0.431 0.650 0.924 1
Ho1 0.062 0.739 0.229 1
```

Entry 4:
AcNd5Ho3 | PBE | optimized geometry

Properties
DFT formation energy, eV per atom: 0.078
Calculated volume, Å³/atom: 34.70
D(E_F), states/eV/atom: 1.50

CIF file:
```
data_AcNd5Ho3
_cell_length_a 15.422
_cell_length_b 10.120
_cell_length_c 9.188
_cell_angle_alpha 90.00
_cell_angle_beta 119.42
_cell_angle_gamma 90.00
_space_group_name_H-M_alt 'C 1 2/c 1'
_space_group_IT_number 15
loop_
_space_group_symop_operation_xyz
'x,y,z'
'-x,-y,-z'
'-x,y,-z+1/2'
'x,-y,z+1/2'
'x+1/2,y+1/2,z'
'-x+1/2,-y+1/2,-z'
'-x+1/2,y+1/2,-z+1/2'
'x+1/2,-y+1/2,z+1/2'
loop_
_atom_site_label
_atom_site_fract_x
_atom_site_fract_y
_atom_site_fract_z
_atom_site_occupancy
Ac1 0.000 0.095 0.250 1
Nd1 0.000 0.440 0.250 1
Nd2 0.165 0.107 0.072 1
Nd3 0.177 0.430 0.103 1
Ho1 0.084 0.253 0.664 1
Ho2 0.250 0.250 0.500 1
```

Entry 5:
Ac7Nd2Ho2 | PBE | optimized geometry

Properties
DFT formation energy, eV per atom: 0.328
Calculated volume, Å³/atom: 42.93
D(E_F), states/eV/atom: 1.82

CIF file:
```
data_Ac7Nd2Ho2
_cell_length_a 12.870
_cell_length_b 7.256
_cell_length_c 10.115
_cell_angle_alpha 90.00
_cell_angle_beta 90.16
_cell_angle_gamma 90.00
_space_group_name_H-M_alt 'C 1 2/m 1'
_space_group_IT_number 12
loop_
_space_group_symop_operation_xyz
'x,y,z'
'-x,-y,-z'
'-x,y,-z'
'x,-y,z'
'x+1/2,y+1/2,z'
'-x+1/2,-y+1/2,-z'
'-x+1/2,y+1/2,-z'
'x+1/2,-y+1/2,z'
loop_
_atom_site_label
_atom_site_fract_x
_atom_site_fract_y
_atom_site_fract_z
_atom_site_occupancy
Ac1 0.000 0.000 0.000 1
Ac2 0.000 0.500 0.184 1
Ac3 0.250 0.250 0.310 1
Nd1 0.000 0.248 0.500 1
Ho1 0.231 0.500 0.000 1
```

Entry 6:
AcNd2Ho8 | PBE | optimized geometry

Properties
DFT formation energy, eV per atom: 0.138
Calculated volume, Å³/atom: 34.42
Energy relative to the lowest polymorph listed for this composition, meV per atom: 3
D(E_F), states/eV/atom: 1.58

CIF file:
```
data_AcNd2Ho8
_cell_length_a 19.298
_cell_length_b 7.112
_cell_length_c 5.525
_cell_angle_alpha 90.00
_cell_angle_beta 93.04
_cell_angle_gamma 90.00
_space_group_name_H-M_alt 'C 1 2/m 1'
_space_group_IT_number 12
loop_
_space_group_symop_operation_xyz
'x,y,z'
'-x,-y,-z'
'-x,y,-z'
'x,-y,z'
'x+1/2,y+1/2,z'
'-x+1/2,-y+1/2,-z'
'-x+1/2,y+1/2,-z'
'x+1/2,-y+1/2,z'
loop_
_atom_site_label
_atom_site_fract_x
_atom_site_fract_y
_atom_site_fract_z
_atom_site_occupancy
Ac1 0.000 0.000 0.000 1
Nd1 0.214 0.500 0.247 1
Ho1 0.046 0.500 0.240 1
Ho2 0.134 0.270 0.730 1
Ho3 0.189 0.000 0.234 1
```

Entry 7:
AcNdHo2 | PBE | optimized geometry

Properties
DFT formation energy, eV per atom: 0.051
Calculated volume, Å³/atom: 35.20
Energy relative to the lowest polymorph listed for this composition, meV per atom: 5
D(E_F), states/eV/atom: 1.66

CIF file:
```
data_AcNdHo2
_cell_length_a 3.747
_cell_length_b 3.747
_cell_length_c 10.026
_cell_angle_alpha 90.00
_cell_angle_beta 90.00
_cell_angle_gamma 90.00
_space_group_name_H-M_alt 'P 4/m m m'
_space_group_IT_number 123
_space_group_name_Hall '-P 4 2'
loop_
_atom_site_label
_atom_site_fract_x
_atom_site_fract_y
_atom_site_fract_z
_atom_site_occupancy
Ac1 0.000 0.000 0.000 1
Nd1 0.000 0.000 0.500 1
Ho1 0.500 0.500 0.260 1
```

Entry 8:
Ac2Nd7Ho4 | PBE | optimized geometry

Properties
DFT formation energy, eV per atom: 0.205
Calculated volume, Å³/atom: 35.66
D(E_F), states/eV/atom: 1.43

CIF file:
```
data_Ac2Nd7Ho4
_cell_length_a 6.3386
_cell_length_b 6.3386
_cell_length_c 13.3242
_cell_angle_alpha 90.00
_cell_angle_beta 90.00
_cell_angle_gamma 120.00
_space_group_name_H-M_alt 'P -3 1 m'
_space_group_IT_number 162
_space_group_name_Hall '-P 3 2'
loop_
_atom_site_label
_atom_site_fract_x
_atom_site_fract_y
_atom_site_fract_z
_atom_site_occupancy
Ac1 0.3333 0.6667 0.0000 1
Nd1 0.0000 0.0000 0.0000 1
Nd2 0.0000 0.3717 0.7702 1
Ho1 0.0000 0.0000 0.3938 1
Ho2 0.3333 0.6667 0.5000 1
```